Below is a geometry-optimized CuAg structure, with properties calculated at the GGA-PBE level.

Cell lengths 9.2064, 9.2064, 4.7315 Å; angles 91.08, 91.08, 17.45 degrees
Last column: nearest neighbours and their distance in Å.
Atoms (fractional coordinates):
1 Ag 0.1837 0.1837 0.0788  7 Cu 2.72-2.79, 5 Ag 2.79-2.90
2 Ag 0.9341 0.9341 0.3172  8 Cu 2.73-2.77, 4 Ag 2.79-2.93
3 Ag 0.0659 0.0659 0.6828  8 Cu 2.73-2.77, 4 Ag 2.79-2.93
4 Ag 0.8163 0.8163 0.9212  7 Cu 2.72-2.79, 5 Ag 2.79-2.90
5 Cu 0.5588 0.5588 0.1869  8 Ag 2.72-2.77, 4 Cu 2.75-3.03
6 Cu 0.3064 0.3064 0.4287  4 Cu 2.58-2.79, 7 Ag 2.72-2.79
7 Cu 0.6936 0.6936 0.5713  4 Cu 2.58-2.79, 7 Ag 2.72-2.79
8 Cu 0.4412 0.4412 0.8131  8 Ag 2.72-2.77, 4 Cu 2.75-3.03

Output
Its electronic total energy is -25.40 eV for the cell shown. Its formation enthalpy at 0 K is 0.10 eV/atom.